1.
First-principles (GGA-PBEsol) data for a geometry-optimized KCd2NiF structure, as listed in Alexandria via LeMat-Bulk.

Computed properties:
Symmetry = P4/mmm

Cell lengths 4.769, 4.769, 6.014 Å; angles 90.00, 90.00, 90.00 degrees
Site moments in Bohr magnetons follow the coordinates.
Positions (direct):
Ni  0.000  0.000  0.000  0.13
Cd  0.000  0.500  0.000  0.00
Cd  0.500  0.000  0.000  0.00
K  0.000  0.000  0.500  0.00
F  0.500  0.500  0.500  0.00

2.
First-principles (GGA-PBEsol) data for a geometry-optimized KCdOF2 structure, as listed in Alexandria via LeMat-Bulk.

Computed properties:
Symmetry = P4/mmm

Cell lengths 4.517, 4.517, 4.545 Å; angles 90.00, 90.00, 90.00 degrees
Site moments in Bohr magnetons follow the coordinates.
Positions (direct):
Cd  0.500  0.500  0.500  -0.05
F  0.000  0.500  0.000  0.00
F  0.500  0.000  0.000  0.00
O  0.000  0.000  0.500  0.89
K  0.000  0.000  0.000  0.07

3.
First-principles (GGA-PBEsol) data for a geometry-optimized La2CdF2 structure, as listed in Alexandria via LeMat-Bulk.

Computed properties:
Symmetry = I4/mmm

Cell lengths 3.904, 3.904, 7.622 Å; angles 104.84, 104.84, 90.00 degrees
Positions (direct):
F  0.750  0.250  0.500
F  0.250  0.750  0.500
La  0.638  0.638  0.276
La  0.362  0.362  0.724
Cd  0.000  0.000  0.000

4.
First-principles (GGA-PBEsol) data for a geometry-optimized LaCdPdF2 structure, as listed in Alexandria via LeMat-Bulk.

Computed properties:
Symmetry = P4/mmm

Cell lengths 4.145, 4.145, 8.444 Å; angles 90.00, 90.00, 90.00 degrees
Positions (direct):
F  0.000  0.500  0.000
F  0.500  0.000  0.000
Pd  0.500  0.500  0.500
Cd  0.000  0.000  0.000
La  0.000  0.000  0.500

5.
First-principles (GGA-PBEsol) data for a geometry-optimized LiCdN2F structure, as listed in Alexandria via LeMat-Bulk.

Computed properties:
Symmetry = P4/mmm

Cell lengths 4.202, 4.202, 4.557 Å; angles 90.00, 90.00, 90.00 degrees
Site moments in Bohr magnetons follow the coordinates.
Positions (direct):
N  0.000  0.500  0.000  1.06
N  0.500  0.000  0.000  1.06
F  0.000  0.000  0.500  0.09
Li  0.500  0.500  0.500  0.00
Cd  0.000  0.000  0.000  0.08

6.
First-principles (GGA-PBEsol) data for a geometry-optimized LiCdNF2 structure, as listed in Alexandria via LeMat-Bulk.

Computed properties:
Symmetry = P4/mmm

Cell lengths 3.589, 3.589, 4.134 Å; angles 90.00, 90.00, 90.00 degrees
Site moments in Bohr magnetons follow the coordinates.
Positions (direct):
Cd  0.500  0.500  0.500  -0.01
Li  0.000  0.000  0.000  0.01
F  0.000  0.500  0.000  0.11
F  0.500  0.000  0.000  0.11
N  0.000  0.000  0.500  1.25

7.
First-principles (GGA-PBEsol) data for a geometry-optimized LiCdOF2 structure, as listed in Alexandria via LeMat-Bulk.

Computed properties:
Symmetry = P4/mmm

Cell lengths 4.096, 4.346, 4.346 Å; angles 90.00, 90.00, 90.00 degrees
Site moments in Bohr magnetons follow the coordinates.
Positions (direct):
Cd  0.000  0.000  0.000  0.04
O  0.500  0.000  0.000  0.37
F  0.000  0.000  0.500  0.02
F  0.000  0.500  0.000  0.02
Li  0.500  0.500  0.500  0.00

8.
First-principles (GGA-PBEsol) data for a geometry-optimized LiTlCdF2 structure, as listed in Alexandria via LeMat-Bulk.

Computed properties:
Symmetry = P4/mmm

Cell lengths 4.289, 4.289, 5.816 Å; angles 90.00, 90.00, 90.00 degrees
Positions (direct):
F  0.500  0.000  0.000
F  0.000  0.500  0.000
Li  0.000  0.000  0.500
Cd  0.000  0.000  0.000
Tl  0.500  0.500  0.500

Energy values (in eV per atom) by entry order: -2.560, -2.898, -5.424, -4.212, -3.739, -3.895, -3.828, -2.929.
Formation energy from raw total energies values (in eV/atom) by entry order: -0.237, -0.611, -2.275, -0.940, 0.690, -0.786, -1.374, -1.000.